Entry 1:
The following is a DFT calculation (PBE) of crystalline Zr4InC2S at its relaxed geometry.

Lattice parameters (Å, degrees): 3.4021 3.4021 13.6367 90.00 90.00 120.00
Positions (direct):
Zr1 0.0000 0.0000 0.1348
Zr2 0.0000 0.0000 0.8652
Zr3 0.3333 0.6667 0.3166
Zr4 0.3333 0.6667 0.6834
In1 0.0000 0.0000 0.5000
C1 0.6667 0.3333 0.2276
C2 0.6667 0.3333 0.7724
S1 0.3333 0.6667 0.0000

Computed properties:
The volume comes out at 17.09 A^3/atom. Its total energy is -67.69 eV/cell.


Entry 2:
The following is a DFT calculation (PBE) of crystalline Zr4InC2S at its relaxed geometry.

Lattice parameters (Å, degrees): 3.4021 3.4021 13.6366 90.00 90.00 120.00
Positions (direct):
Zr1 0.0000 0.0000 0.1348
Zr2 0.0000 0.0000 0.8652
Zr3 0.6667 0.3333 0.3166
Zr4 0.6667 0.3333 0.6834
In1 0.0000 0.0000 0.5000
C1 0.3333 0.6667 0.2276
C2 0.3333 0.6667 0.7724
S1 0.6667 0.3333 0.0000

Computed properties:
The volume comes out at 17.09 A^3/atom. Its total energy is -67.69 eV/cell.


Entry 3:
The following is a DFT calculation (PBE) of crystalline InSbW4C2 at its relaxed geometry.

Lattice parameters (Å, degrees): 3.1833 3.1833 13.6566 90.00 90.00 120.00
Positions (direct):
In1 0.0000 0.0000 0.0000
Sb1 0.3333 0.6667 0.5000
W1 0.0000 0.0000 0.3344
W2 0.0000 0.0000 0.6656
W3 0.3333 0.6667 0.1717
W4 0.3333 0.6667 0.8283
C1 0.6667 0.3333 0.2533
C2 0.6667 0.3333 0.7467

Computed properties:
The volume comes out at 14.98 A^3/atom. Its total energy is -74.68 eV/cell.


Entry 4:
The following is a DFT calculation (PBE) of crystalline Sc4Ta2In3C3 at its relaxed geometry.

Lattice parameters (Å, degrees): 5.7117 5.7117 15.1731 101.22 101.22 60.16
Positions (direct):
Sc1 0.0398 0.1851 0.0848
Sc2 0.1263 0.3048 0.4152
Sc3 0.1851 0.0398 0.5848
Sc4 0.3048 0.1263 0.9152
Sc5 0.6952 0.8737 0.0848
Sc6 0.8149 0.9602 0.4152
Sc7 0.8737 0.6952 0.5848
Sc8 0.9602 0.8149 0.9152
Ta1 0.3492 0.5249 0.0735
Ta2 0.4751 0.6508 0.4265
Ta3 0.5249 0.3492 0.5735
Ta4 0.6508 0.4751 0.9265
In1 0.1083 0.8917 0.2500
In2 0.2712 0.4191 0.7523
In3 0.4191 0.2712 0.2523
In4 0.5809 0.7288 0.7477
In5 0.7288 0.5809 0.2477
In6 0.8917 0.1083 0.7500
C1 0.0000 0.5000 0.0000
C2 0.1881 0.6560 0.5000
C3 0.3440 0.8119 0.0000
C4 0.5000 0.0000 0.5000
C5 0.6560 0.1881 0.0000
C6 0.8119 0.3440 0.5000

Computed properties:
The volume comes out at 17.43 A^3/atom. Its total energy is -183.62 eV/cell.